a.
Computed, not measured: a geometry-optimized La4PrNd2 structure at the PBE level of DFT.

Cell lengths 7.0035, 9.2659, 9.2659 Å; angles 79.27, 67.80, 67.80 degrees
Positions (direct):
La 0.7871 0.2440 0.7440
Nd 0.2802 0.9698 0.4698
Nd 0.7198 0.0302 0.5302
La 0.8546 0.1450 0.1458
Nd 0.5000 0.0000 0.0000
Pr 0.5000 0.5000 0.0000
La 0.8546 0.6458 0.6450
Pr 0.0000 0.5000 0.0000
La 0.2249 0.2440 0.7440
La 0.1454 0.8550 0.8542
La 0.7751 0.7560 0.2560
La 0.2129 0.7560 0.2560
Nd 0.5000 0.5000 0.5000
La 0.1454 0.3542 0.3550

Space group: Imma (74)
Total moment: 0.0000 μB per atom

=====

b.
Computed, not measured: a geometry-optimized La4PrNd2 structure at the PBE level of DFT.

Cell lengths 7.3133, 7.1294, 10.6389 Å; angles 90.00, 90.00, 108.65 degrees
Positions (direct):
Pr 0.0000 0.5000 0.0000
Nd 0.0000 0.0000 0.5000
La 0.7270 0.6931 0.7108
Nd 0.0000 0.5000 0.5000
La 0.2737 0.3074 0.7106
La 0.2722 0.8075 0.2125
La 0.7278 0.1925 0.7875
Pr 0.5000 0.5000 0.0000
La 0.2730 0.8080 0.7878
Nd 0.0000 0.0000 0.0000
La 0.2730 0.3069 0.2892
Nd 0.5000 0.0000 0.5000
La 0.7263 0.6926 0.2894
La 0.7270 0.1920 0.2122

Space group: P2/m (10)
Total moment: 0.0000 μB per atom

=====

Which is the most stable structure? b is the most stable.

=====

a.
Computed, not measured: a geometry-optimized LaPr12Nd6 structure at the PBE level of DFT.

Cell lengths 8.8544, 8.8544, 8.8544 Å; angles 89.16, 89.16, 89.16 degrees
Positions (direct):
Nd 0.0958 0.6982 0.2612
Pr 0.0177 0.1941 0.3613
Pr 0.9823 0.8059 0.6387
Pr 0.4646 0.5658 0.2198
Pr 0.4342 0.7802 0.5354
Nd 0.6982 0.2612 0.0958
Pr 0.8059 0.6387 0.9823
Pr 0.6387 0.9823 0.8059
Nd 0.2612 0.0958 0.6982
Nd 0.7388 0.9042 0.3018
Nd 0.9042 0.3018 0.7388
Pr 0.2198 0.4646 0.5658
La 0.0000 0.0000 0.0000
Pr 0.5354 0.4342 0.7802
Pr 0.3613 0.0177 0.1941
Pr 0.7802 0.5354 0.4342
Nd 0.3018 0.7388 0.9042
Pr 0.1941 0.3613 0.0177
Pr 0.5658 0.2198 0.4646

Space group: R-3 (148)
Total moment: 0.0000 μB per atom

=====

b.
Computed, not measured: a geometry-optimized LaPr12Nd6 structure at the PBE level of DFT.

Cell lengths 9.7355, 9.7355, 9.7355 Å; angles 109.04, 109.04, 109.04 degrees
Positions (direct):
Pr 0.8928 0.5000 0.1072
Pr 0.5000 0.1072 0.8928
Pr 0.1072 0.5000 0.8928
Nd 0.7792 0.3269 0.3269
Nd 0.2208 0.6731 0.6731
La 0.0000 0.0000 0.0000
Pr 0.6132 0.6132 0.8188
Pr 0.1072 0.8928 0.5000
Nd 0.3269 0.3269 0.7792
Pr 0.8188 0.6132 0.6132
Pr 0.3868 0.1812 0.3868
Pr 0.6132 0.8188 0.6132
Nd 0.6731 0.6731 0.2208
Pr 0.3868 0.3868 0.1812
Pr 0.1812 0.3868 0.3868
Nd 0.3269 0.7792 0.3269
Pr 0.5000 0.8928 0.1072
Pr 0.8928 0.1072 0.5000
Nd 0.6731 0.2208 0.6731

Space group: R-3m (166)
Total moment: 0.0000 μB per atom

=====

Which is the most stable structure? a is the most stable.

=====

a.
Computed, not measured: a geometry-optimized LaPr4Nd5 structure at the PBE level of DFT.

Cell lengths 3.6657, 10.8168, 9.4885 Å; angles 85.11, 101.14, 90.00 degrees
Positions (direct):
Pr 0.0461 0.2453 0.0921
Nd 0.8070 0.5974 0.6139
Pr 0.3163 0.9111 0.6327
Pr 0.6837 0.0889 0.3673
Nd 0.5000 0.5000 0.0000
Pr 0.9539 0.7547 0.9079
La 0.5000 0.0000 0.0000
Nd 0.1414 0.7561 0.2828
Nd 0.8586 0.2439 0.7172
Nd 0.1930 0.4026 0.3861

Space group: C2/m (12)
Total moment: 0.0000 μB per atom

=====

b.
Computed, not measured: a geometry-optimized LaPr4Nd5 structure at the PBE level of DFT.

Cell lengths 3.5511, 7.0192, 14.7311 Å; angles 97.22, 96.92, 90.00 degrees
Positions (direct):
Nd 0.2022 0.6006 0.4043
Nd 0.2060 0.1021 0.4121
Nd 0.5000 0.5000 0.0000
Pr 0.3921 0.1944 0.7843
Nd 0.7940 0.8979 0.5879
Pr 0.0950 0.3032 0.1899
Pr 0.6079 0.8056 0.2157
La 0.5000 0.0000 0.0000
Pr 0.9050 0.6968 0.8101
Nd 0.7978 0.3994 0.5957

Space group: C2/m (12)
Total moment: 0.0000 μB per atom

=====

Which is the most stable structure? b is the most stable.